La3TiI | GGA-PBE | optimized geometry

CIF file:
```
data_La3TiI
_cell_length_a 5.609
_cell_length_b 5.609
_cell_length_c 5.609
_cell_angle_alpha 90.00
_cell_angle_beta 90.00
_cell_angle_gamma 90.00
_space_group_name_H-M_alt 'P 1'
_space_group_IT_number 1
loop_
_space_group_symop_operation_xyz
'x,y,z'
loop_
_atom_site_label
_atom_site_type_symbol
_atom_site_fract_x
_atom_site_fract_y
_atom_site_fract_z
I1 I 0.500 0.500 0.500
Ti1 Ti 0.000 0.000 0.000
La1 La 0.000 0.500 0.000
La2 La 0.000 0.000 0.500
La3 La 0.500 0.000 0.000
```

## Properties
- calculated total energy (eV for the cell shown) = -23.557
- volume (Å³/f.u.) = 176
- symmetry = Pm-3m (221)
- formation energy (no corrections) (meV/atom) = 134
- Fermi-level density of states (states/eV per cell) = 9.531